1.
Below is an optimized crystal structure of CrSeBr2N, with properties calculated at the PBE level.

Properties
Total DFT energy (no corrections), Ry per atom: -0.2609
Mass density, g/cm3: 4.609
E_form (uncorrected), meV per atom: 1406
Volume, Å³/cell: 109.8
Offset from the most stable computed form, meV/atom: 370

a b c (Å): 4.8911 4.8911 4.5895
angles (deg): 90.00 90.00 90.00
Closest atoms and distances in Å follow each position.
Space group P4/mmm (No. 123)
Inequivalent atoms, fractional coordinates:
Cr 0.0000 0.0000 0.0000 [1 per cell]  2 Se 2.29, 4 Br 2.45
Se 0.0000 0.0000 0.5000 [1 per cell]  2 Cr 2.29
Br 0.0000 0.5000 0.0000 [2 per cell]  2 Cr 2.45
N 0.5000 0.5000 0.5000 [1 per cell]  8 Br 3.35, 4 Se 3.46

2.
Below is an optimized crystal structure of CrSeBr2N, with properties calculated at the PBE level.

Properties
Total DFT energy (no corrections), Ry per atom: -0.2881
Mass density, g/cm3: 5.177
E_form (uncorrected), meV per atom: 1037
Volume, Å³/cell: 97.8
Offset from the most stable computed form, meV/atom: 0

a b c (Å): 4.6350 4.6350 4.5505
angles (deg): 90.00 90.00 90.00
Closest atoms and distances in Å follow each position.
Space group P4/mmm (No. 123)
Inequivalent atoms, fractional coordinates:
Cr 0.0000 0.0000 0.0000 [1 per cell]  8 Br 3.25, 4 Se 3.28
Se 0.5000 0.5000 0.0000 [1 per cell]  2 N 2.28
Br 0.0000 0.5000 0.5000 [2 per cell]  2 N 2.32
N 0.5000 0.5000 0.5000 [1 per cell]  2 Se 2.28, 4 Br 2.32

3.
Below is an optimized crystal structure of CrSe2BrN, with properties calculated at the PBE level.

Properties
Total DFT energy (no corrections), Ry per atom: -0.2512
Mass density, g/cm3: 5.055
E_form (uncorrected), meV per atom: 1900
Volume, Å³/cell: 99.8
Offset from the most stable computed form, meV/atom: 1546

a b c (Å): 5.2316 5.2316 3.6469
angles (deg): 90.00 90.00 90.00
Closest atoms and distances in Å follow each position.
Space group P4/mmm (No. 123)
Inequivalent atoms, fractional coordinates:
Cr 0.0000 0.0000 0.0000 [1 per cell]  8 Se 3.19
Se 0.0000 0.5000 0.5000 [2 per cell]  2 Br 2.62
Br 0.5000 0.5000 0.5000 [1 per cell]  2 N 1.82
N 0.5000 0.5000 0.0000 [1 per cell]  2 Br 1.82

4.
Below is an optimized crystal structure of CrSe2BrN, with properties calculated at the PBE level.

Properties
Total DFT energy (no corrections), Ry per atom: -0.3649
Mass density, g/cm3: 5.687
E_form (uncorrected), meV per atom: 354
Volume, Å³/cell: 88.7
Offset from the most stable computed form, meV/atom: 0

a b c (Å): 4.9872 4.9872 3.5667
angles (deg): 90.00 90.00 90.00
Closest atoms and distances in Å follow each position.
Space group P4/mmm (No. 123)
Inequivalent atoms, fractional coordinates:
Cr 0.0000 0.0000 0.0000 [1 per cell]  2 N 1.78
Se 0.0000 0.5000 0.0000 [2 per cell]  2 Cr 2.49
Br 0.5000 0.5000 0.5000 [1 per cell]  8 Se 3.07
N 0.0000 0.0000 0.5000 [1 per cell]  2 Cr 1.78

5.
Below is an optimized crystal structure of CrSe2BrN, with properties calculated at the PBE level.

Properties
Total DFT energy (no corrections), Ry per atom: -0.3099
Mass density, g/cm3: 4.404
E_form (uncorrected), meV per atom: 1102
Volume, Å³/cell: 114.6
Offset from the most stable computed form, meV/atom: 748

a b c (Å): 4.6299 4.6299 5.3440
angles (deg): 90.00 90.00 90.00
Closest atoms and distances in Å follow each position.
Space group P4/mmm (No. 123)
Inequivalent atoms, fractional coordinates:
Cr 0.0000 0.0000 0.0000 [1 per cell]  4 Se 2.31
Se 0.0000 0.5000 0.0000 [2 per cell]  2 Cr 2.31
Br 0.0000 0.0000 0.5000 [1 per cell]  2 Cr 2.67
N 0.5000 0.5000 0.5000 [1 per cell]  4 Br 3.27, 8 Se 3.54

6.
Below is an optimized crystal structure of Cr2SiBrN, with properties calculated at the PBE level.

Properties
Total DFT energy (no corrections), Ry per atom: -0.3130
Mass density, g/cm3: 3.973
E_form (uncorrected), meV per atom: 2676
Volume, Å³/cell: 94.5

a b c (Å): 4.3789 4.3789 4.9259
angles (deg): 90.00 90.00 90.00
Closest atoms and distances in Å follow each position.
Space group P4/mmm (No. 123)
Inequivalent atoms, fractional coordinates:
Cr 0.0000 0.5000 0.0000 [2 per cell]  2 Br 2.19
Si 0.0000 0.0000 0.5000 [1 per cell]  2 Br 2.46
Br 0.0000 0.0000 0.0000 [1 per cell]  4 Cr 2.19
N 0.5000 0.5000 0.5000 [1 per cell]  4 Si 3.10, 8 Cr 3.30

7.
Below is an optimized crystal structure of CrTe2BrN, with properties calculated at the PBE level.

Properties
Total DFT energy (no corrections), Ry per atom: -0.3620
Mass density, g/cm3: 6.388
E_form (uncorrected), meV per atom: 255
Volume, Å³/cell: 104.3
Offset from the most stable computed form, meV/atom: 0

a b c (Å): 5.4363 5.4363 3.5282
angles (deg): 90.00 90.00 90.00
Closest atoms and distances in Å follow each position.
Space group P4/mmm (No. 123)
Inequivalent atoms, fractional coordinates:
Cr 0.0000 0.0000 0.0000 [1 per cell]  2 N 1.76
Te 0.0000 0.5000 0.0000 [2 per cell]  2 Cr 2.72
Br 0.5000 0.5000 0.5000 [1 per cell]  8 Te 3.24, 2 Br 3.53
N 0.0000 0.0000 0.5000 [1 per cell]  2 Cr 1.76

8.
Below is an optimized crystal structure of CrTeBrN2, with properties calculated at the PBE level.

Properties
Total DFT energy (no corrections), Ry per atom: -0.4067
Mass density, g/cm3: 5.518
E_form (uncorrected), meV per atom: 684
Volume, Å³/cell: 86.5
Offset from the most stable computed form, meV/atom: 0

a b c (Å): 3.8913 3.8913 5.7135
angles (deg): 90.00 90.00 90.00
Closest atoms and distances in Å follow each position.
Space group P4/mmm (No. 123)
Inequivalent atoms, fractional coordinates:
Cr 0.0000 0.0000 0.0000 [1 per cell]  4 N 1.95
Te 0.0000 0.0000 0.5000 [1 per cell]  4 Br 2.75, 2 Cr 2.86
Br 0.5000 0.5000 0.5000 [1 per cell]  4 Te 2.75
N 0.0000 0.5000 0.0000 [2 per cell]  2 Cr 1.95

9.
Below is an optimized crystal structure of CrTeBrN2, with properties calculated at the PBE level.

Properties
Total DFT energy (no corrections), Ry per atom: -0.3083
Mass density, g/cm3: 4.029
E_form (uncorrected), meV per atom: 2023
Volume, Å³/cell: 118.5
Offset from the most stable computed form, meV/atom: 1339

a b c (Å): 3.8936 3.8936 7.8162
angles (deg): 90.00 90.00 90.00
Closest atoms and distances in Å follow each position.
Space group P4/mmm (No. 123)
Inequivalent atoms, fractional coordinates:
Cr 0.0000 0.0000 0.0000 [1 per cell]  4 Te 2.75
Te 0.5000 0.5000 0.0000 [1 per cell]  4 Cr 2.75
Br 0.5000 0.5000 0.5000 [1 per cell]  4 N 1.95
N 0.0000 0.5000 0.5000 [2 per cell]  2 Br 1.95

10.
Below is an optimized crystal structure of CrTe2BrN, with properties calculated at the PBE level.

Properties
Total DFT energy (no corrections), Ry per atom: -0.2416
Mass density, g/cm3: 5.693
E_form (uncorrected), meV per atom: 1894
Volume, Å³/cell: 117.0
Offset from the most stable computed form, meV/atom: 1639

a b c (Å): 5.6262 5.6262 3.6963
angles (deg): 90.00 90.00 90.00
Closest atoms and distances in Å follow each position.
Space group P4/mmm (No. 123)
Inequivalent atoms, fractional coordinates:
Cr 0.0000 0.0000 0.0000 [1 per cell]  8 Te 3.37, 2 Cr 3.70
Te 0.0000 0.5000 0.5000 [2 per cell]  2 Br 2.81
Br 0.5000 0.5000 0.5000 [1 per cell]  2 N 1.85
N 0.5000 0.5000 0.0000 [1 per cell]  2 Br 1.85

11.
Below is an optimized crystal structure of V2CrBrN, with properties calculated at the PBE level.

Properties
Total DFT energy (no corrections), Ry per atom: -0.4144
Mass density, g/cm3: 4.863
E_form (uncorrected), meV per atom: 1934
Volume, Å³/cell: 84.6

a b c (Å): 4.3931 4.3931 4.3840
angles (deg): 90.00 90.00 90.00
Closest atoms and distances in Å follow each position.
Space group P4/mmm (No. 123)
Inequivalent atoms, fractional coordinates:
V 0.0000 0.5000 0.0000 [2 per cell]  2 Cr 2.20
Cr 0.0000 0.0000 0.0000 [1 per cell]  2 Br 2.19, 4 V 2.20
Br 0.0000 0.0000 0.5000 [1 per cell]  2 Cr 2.19
N 0.5000 0.5000 0.5000 [1 per cell]  8 V 3.10, 4 Br 3.11